[1]
# Rb2VBr4F2

A relaxed Rb2VBr4F2 crystal (PBE with a Hubbard U, the Alexandria database).

a = 6.0647 Å, b = 7.1507 Å, c = 7.1507 Å
α = 63.76°, β = 90.28°, γ = 90.28°
Last column: nearest neighbours and their distance in Å.
Fractional positions:
Rb: 0.2393 0.6517 0.6517  8 Br 3.52-3.76, 2 F 3.83
Rb: 0.7607 0.3483 0.3483  8 Br 3.52-3.76, 2 F 3.83
V: 0.5000 0.0000 0.0000  2 F 1.80
Br: 0.2805 0.6581 0.1401  1 V 2.56
Br: 0.7195 0.8599 0.3419  1 V 2.56
Br: 0.7195 0.3419 0.8599  1 V 2.56
Br: 0.2805 0.1401 0.6581  1 V 2.56
F: 0.3031 0.1106 0.1106  1 V 1.80
F: 0.6969 0.8894 0.8894  1 V 1.80

Results
Its symmetry is C2/m (12).



[2]
# RbVBr2F

A relaxed RbVBr2F crystal (PBE with a Hubbard U, the Alexandria database).

a = 5.5357 Å, b = 5.5357 Å, c = 4.2107 Å
α = 90.00°, β = 90.00°, γ = 90.00°
Last column: nearest neighbours and their distance in Å.
Fractional positions:
F: 0.0000 0.0000 0.5000  2 V 2.11
Br: 0.0000 0.5000 0.0000  2 V 2.77
Br: 0.5000 0.0000 0.0000  2 V 2.77
Rb: 0.5000 0.5000 0.5000  8 Br 3.48
V: 0.0000 0.0000 0.0000  2 F 2.11

Results
Its symmetry is P4/mmm (123).



[3]
# Rb3V2Br3F4

A relaxed Rb3V2Br3F4 crystal (PBE with a Hubbard U, the Alexandria database).

a = 4.2778 Å, b = 5.3648 Å, c = 13.2757 Å
α = 101.66°, β = 99.27°, γ = 90.00°
Last column: nearest neighbours and their distance in Å.
Fractional positions:
Rb: 0.5019 0.5000 0.0000  8 Br 3.40-3.43
Rb: 0.3027 0.3010 0.6020  1 F 2.71
Rb: 0.7007 0.6990 0.3980  1 F 2.71
V: 0.1168 0.1142 0.2283  3 F 2.08-2.14
V: 0.8885 0.8858 0.7717  3 F 2.08-2.14
Br: 0.0021 0.0000 0.0000  2 V 2.93
Br: 0.1050 0.6031 0.2063  2 V 2.70
Br: 0.8987 0.3969 0.7937  2 V 2.70
F: 0.3861 0.8835 0.7669  2 V 2.14
F: 0.1984 0.1954 0.3908  1 V 2.08
F: 0.8076 0.8046 0.6092  1 V 2.08
F: 0.6192 0.1165 0.2331  2 V 2.14

Results
Its symmetry is Immm (71).



[4]
# Rb2WBr4F2

A relaxed Rb2WBr4F2 crystal (PBE with a Hubbard U, the Alexandria database).

a = 6.2738 Å, b = 7.1611 Å, c = 7.1611 Å
α = 65.39°, β = 76.04°, γ = 76.04°
Last column: nearest neighbours and their distance in Å.
Fractional positions:
Rb: 0.1854 0.6802 0.6802  1 F 2.91
Rb: 0.8146 0.3198 0.3198  1 F 2.91
W: 0.5000 0.0000 0.0000  2 F 1.99
Br: 0.3109 0.6683 0.1518  1 W 2.61
Br: 0.6891 0.8482 0.3317  1 W 2.61
Br: 0.6891 0.3317 0.8482  1 W 2.61
Br: 0.3109 0.1518 0.6683  1 W 2.61
F: 0.2407 0.1419 0.1419  1 W 1.99
F: 0.7593 0.8581 0.8581  1 W 1.99

Results
Its symmetry is C2/m (12).



no.,mass density (Mg/m³),calculated total energy (eV per atom)
1,3.46,-3.926
2,4.06,-4.432
3,3.80,-4.569
4,4.22,-3.915